Below is an optimized crystal structure of ThZrSn2, with properties calculated at the GGA-PBE level.

Summary:
Space group: P4/mmm, No. 123
Formation enthalpy at 0 K, kJ/mol of atoms: -43.2
DFT total energy, eV per atom: -6.441
Energy relative to the lowest polymorph listed for this composition, meV/atom: 0
DOS at the Fermi energy, states/eV/cell: 1.83

```
ThZrSn2
1.0
-2.309 -3.066 0.895
-0.262 -0.918 -3.824
5.344 -3.860 0.561
Sn Zr Th
2 1 1
Direct
0.000 0.000 0.778 Sn
0.000 0.000 0.222 Sn
0.500 0.500 0.000 Zr
0.500 0.500 0.500 Th
```

Below is an optimized crystal structure of Na5GaBi4, with properties calculated at the GGA-PBE level.

Summary:
Space group: C2/m, No. 12
Formation enthalpy at 0 K, kJ/mol of atoms: -14.5
DFT total energy, eV per atom: -2.665
DOS at the Fermi energy, states/eV/cell: 1.89

```
Na5GaBi4
1.0
-1.932 3.288 3.676
5.793 -1.685 4.552
7.814 3.737 -3.053
Bi Na Ga
4 5 1
Direct
0.320 0.921 0.639 Bi
0.002 0.271 0.004 Bi
0.998 0.729 0.996 Bi
0.680 0.079 0.361 Bi
0.500 0.500 0.000 Na
0.850 0.149 0.700 Na
0.828 0.647 0.656 Na
0.150 0.851 0.300 Na
0.172 0.353 0.344 Na
0.500 0.000 0.000 Ga
```

Below is an optimized crystal structure of Fe2NiAu, with properties calculated at the GGA-PBE level.

Summary:
Space group: C2/m, No. 12
Formation enthalpy at 0 K, kJ/mol of atoms: 12.9
DFT total energy, eV per atom: -6.362
Energy relative to the lowest polymorph listed for this composition, meV/atom: 73
DOS at the Fermi energy, states/eV/cell: 3.81

```
Fe2NiAu
1.0
4.635 -0.004 0.022
3.815 2.632 0.022
0.881 0.274 4.375
Ni Au Fe
1 1 2
Direct
0.750 0.750 0.750 Ni
0.250 0.250 0.250 Au
0.006 0.006 0.978 Fe
0.494 0.494 0.522 Fe
```

Below is an optimized crystal structure of Ca3Al2Ge3, with properties calculated at the GGA-PBE level.

Summary:
Space group: Cmcm, No. 63
Formation enthalpy at 0 K, kJ/mol of atoms: -48.9
DFT total energy, eV per atom: -3.925
Energy relative to the lowest polymorph listed for this composition, meV/atom: 38
DOS at the Fermi energy, states/eV/cell: 4.93

```
Ca3Al2Ge3
1.0
4.337 0.000 0.000
-2.169 5.807 0.000
0.000 0.000 14.559
Al Ca Ge
4 6 6
Direct
0.764 0.528 0.593 Al
0.236 0.472 0.093 Al
0.764 0.528 0.907 Al
0.236 0.472 0.407 Al
0.066 0.132 0.888 Ca
0.934 0.868 0.388 Ca
0.066 0.132 0.612 Ca
0.342 0.685 0.750 Ca
0.658 0.315 0.250 Ca
0.934 0.868 0.112 Ca
0.625 0.249 0.452 Ge
0.625 0.249 0.048 Ge
0.352 0.705 0.250 Ge
0.375 0.751 0.548 Ge
0.648 0.295 0.750 Ge
0.375 0.751 0.952 Ge
```

Below is an optimized crystal structure of Ga4Ni5Pd, with properties calculated at the GGA-PBE level.

Summary:
Space group: Pmmm, No. 47
Formation enthalpy at 0 K, kJ/mol of atoms: -30.5
DFT total energy, eV per atom: -4.936
DOS at the Fermi energy, states/eV/cell: 6.95

```
Ga4Ni5Pd
1.0
-1.127 2.269 1.487
-0.152 -1.670 2.435
13.333 4.192 3.706
Ga Ni Pd
4 5 1
Direct
0.000 0.000 0.401 Ga
0.000 0.000 0.599 Ga
0.000 0.000 0.799 Ga
0.000 0.000 0.201 Ga
0.500 0.500 0.500 Ni
0.500 0.500 0.304 Ni
0.500 0.500 0.113 Ni
0.500 0.500 0.887 Ni
0.500 0.500 0.696 Ni
0.000 0.000 0.000 Pd
```

Below is an optimized crystal structure of Tl2SeCl, with properties calculated at the GGA-PBE level.

Summary:
Space group: P4mm, No. 99
DFT total energy, eV per atom: -3.098
Energy relative to the lowest polymorph listed for this composition, meV/atom: 0
DOS at the Fermi energy, states/eV/cell: 0.80

```
Tl2SeCl
1.0
-1.154 -3.843 1.363
3.162 -1.737 -2.224
4.431 0.707 5.748
Tl Cl Se
2 1 1
Direct
0.000 0.000 0.845 Tl
0.500 0.500 0.340 Tl
0.000 0.000 0.444 Cl
0.500 0.500 0.871 Se
```

Below is an optimized crystal structure of CsCoPb3, with properties calculated at the GGA-PBE level.

Summary:
Space group: Pm-3m, No. 221
Formation enthalpy at 0 K, kJ/mol of atoms: 186.1
DFT total energy, eV per atom: -1.888
Energy relative to the lowest polymorph listed for this composition, meV/atom: 1689
DOS at the Fermi energy, states/eV/cell: 5.47

```
CsCoPb3
1.0
6.317 0.000 0.000
0.000 6.317 0.000
0.000 0.000 6.317
Co Pb Cs
1 3 1
Direct
0.500 0.500 0.500 Co
0.500 0.000 0.000 Pb
0.000 0.000 0.500 Pb
0.000 0.500 0.000 Pb
0.000 0.000 0.000 Cs
```

Below is an optimized crystal structure of KTi6Se8, with properties calculated at the GGA-PBE level.

Summary:
Space group: P-3, No. 147
DFT total energy, eV per atom: -6.316
DOS at the Fermi energy, states/eV/cell: 7.37

```
KTi6Se8
1.0
9.933 0.000 0.000
-4.966 8.602 0.000
0.000 0.000 3.598
Se Ti K
8 6 1
Direct
0.950 0.650 0.752 Se
0.650 0.700 0.248 Se
0.700 0.050 0.752 Se
0.300 0.950 0.248 Se
0.050 0.350 0.248 Se
0.333 0.667 0.751 Se
0.667 0.333 0.249 Se
0.350 0.300 0.752 Se
0.870 0.362 0.749 Ti
0.508 0.870 0.251 Ti
0.492 0.130 0.749 Ti
0.130 0.638 0.251 Ti
0.638 0.508 0.749 Ti
0.362 0.492 0.251 Ti
0.000 0.000 0.500 K
```

Below is an optimized crystal structure of K2PaAu2S6, with properties calculated at the GGA-PBE level.

Summary:
Space group: C2/m, No. 12
DFT total energy, eV per atom: -4.642
DOS at the Fermi energy, states/eV/cell: 5.19

```
K2PaAu2S6
1.0
5.943 0.000 0.000
-2.972 6.776 -0.214
0.000 -4.142 7.712
S K Au Pa
6 2 2 1
Direct
0.682 0.873 0.206 S
0.711 0.422 0.590 S
0.191 0.873 0.206 S
0.318 0.127 0.794 S
0.289 0.578 0.410 S
0.809 0.127 0.794 S
0.296 0.591 0.807 K
0.704 0.409 0.193 K
0.906 0.811 0.693 Au
0.094 0.189 0.307 Au
0.500 0.000 0.500 Pa
```

Below is an optimized crystal structure of Tm4Au3, with properties calculated at the GGA-PBE level.

Summary:
Space group: R-3m, No. 166
Formation enthalpy at 0 K, kJ/mol of atoms: -69.5
DFT total energy, eV per atom: -4.680
DOS at the Fermi energy, states/eV/cell: 4.82

```
Tm4Au3
1.0
0.072 2.704 4.160
4.084 0.112 2.815
4.133 7.393 -1.918
Tm Au
4 3
Direct
0.125 0.125 0.625 Tm
0.625 0.625 0.126 Tm
0.875 0.875 0.375 Tm
0.375 0.375 0.874 Tm
0.756 0.756 0.732 Au
0.244 0.244 0.268 Au
0.000 0.000 0.000 Au
```

Below is an optimized crystal structure of SiOs2AuCl, with properties calculated at the GGA-PBE level.

Summary:
Space group: P4/mmm, No. 123
DFT total energy, eV per atom: -4.619
DOS at the Fermi energy, states/eV/cell: 3.29

```
SiOs2AuCl
1.0
4.337 0.000 0.000
0.000 5.007 0.000
0.000 0.000 4.337
Cl Os Si Au
1 2 1 1
Direct
0.000 0.000 0.000 Cl
0.500 0.000 0.000 Os
0.000 0.000 0.500 Os
0.500 0.500 0.500 Si
0.000 0.500 0.000 Au
```

Below is an optimized crystal structure of Ni2Pd2Ru, with properties calculated at the GGA-PBE level.

Summary:
Space group: P4/mbm, No. 127
Formation enthalpy at 0 K, kJ/mol of atoms: 37.5
DFT total energy, eV per atom: -5.856
Energy relative to the lowest polymorph listed for this composition, meV/atom: 68
DOS at the Fermi energy, states/eV/cell: 16.63

```
Ni2Pd2Ru
1.0
7.204 0.000 0.000
0.000 7.204 0.000
0.000 0.000 2.723
Ni Ru Pd
4 2 4
Direct
0.666 0.834 0.500 Ni
0.334 0.166 0.500 Ni
0.834 0.334 0.500 Ni
0.166 0.666 0.500 Ni
0.500 0.500 0.000 Ru
0.000 0.000 0.000 Ru
0.367 0.867 0.000 Pd
0.133 0.367 0.000 Pd
0.867 0.633 0.000 Pd
0.633 0.133 0.000 Pd
```

Below is an optimized crystal structure of ZnTc2I, with properties calculated at the GGA-PBE level.

Summary:
Space group: Fm-3m, No. 225
DFT total energy, eV per atom: -5.166
Energy relative to the lowest polymorph listed for this composition, meV/atom: 0
DOS at the Fermi energy, states/eV/cell: 2.86

```
ZnTc2I
1.0
0.000 3.170 3.170
3.170 0.000 3.170
3.170 3.170 0.000
I Zn Tc
1 1 2
Direct
0.500 0.500 0.500 I
0.000 0.000 0.000 Zn
0.750 0.750 0.750 Tc
0.250 0.250 0.250 Tc
```

Below is an optimized crystal structure of VNi6Pt2, with properties calculated at the GGA-PBE level.

Summary:
Space group: C2/m, No. 12
Formation enthalpy at 0 K, kJ/mol of atoms: -2.7
DFT total energy, eV per atom: -6.238
Energy relative to the lowest polymorph listed for this composition, meV/atom: 167
DOS at the Fermi energy, states/eV/cell: 10.47

```
VNi6Pt2
1.0
5.734 -0.026 -0.015
0.029 4.781 0.005
0.029 2.386 4.142
Pt Ni V
2 6 1
Direct
0.084 0.333 0.333 Pt
0.916 0.667 0.667 Pt
0.669 0.170 0.170 Ni
0.331 0.830 0.830 Ni
0.330 0.830 0.339 Ni
0.330 0.339 0.830 Ni
0.670 0.170 0.661 Ni
0.670 0.661 0.170 Ni
0.000 0.000 0.000 V
```

Below is an optimized crystal structure of Er5CdAu4, with properties calculated at the GGA-PBE level.

Summary:
Space group: P4/mmm, No. 123
Formation enthalpy at 0 K, kJ/mol of atoms: -74.3
DFT total energy, eV per atom: -4.454
DOS at the Fermi energy, states/eV/cell: 6.13

```
Er5CdAu4
1.0
3.581 0.000 0.000
0.000 3.581 0.000
0.000 0.000 18.120
Er Au Cd
5 4 1
Direct
0.500 0.500 0.303 Er
0.500 0.500 0.697 Er
0.500 0.500 0.892 Er
0.500 0.500 0.500 Er
0.500 0.500 0.108 Er
0.000 0.000 0.401 Au
0.000 0.000 0.798 Au
0.000 0.000 0.599 Au
0.000 0.000 0.202 Au
0.000 0.000 0.000 Cd
```

Below is an optimized crystal structure of RbCoOs3, with properties calculated at the GGA-PBE level.

Summary:
Space group: Pm-3m, No. 221
Formation enthalpy at 0 K, kJ/mol of atoms: 429.5
DFT total energy, eV per atom: -3.901
DOS at the Fermi energy, states/eV/cell: 12.47

```
RbCoOs3
1.0
4.650 0.000 0.000
0.000 4.650 0.000
0.000 0.000 4.650
Os Co Rb
3 1 1
Direct
0.000 0.000 0.500 Os
0.500 0.000 0.000 Os
0.000 0.500 0.000 Os
0.500 0.500 0.500 Co
0.000 0.000 0.000 Rb
```

Below is an optimized crystal structure of LiSi3I, with properties calculated at the GGA-PBE level.

Summary:
Space group: Pm-3m, No. 221
DFT total energy, eV per atom: -3.030
Energy relative to the lowest polymorph listed for this composition, meV/atom: 0
DOS at the Fermi energy, states/eV/cell: 3.88

```
LiSi3I
1.0
4.695 0.000 0.000
0.000 4.695 0.000
0.000 0.000 4.695
Si Li I
3 1 1
Direct
0.000 0.000 0.500 Si
0.500 0.000 0.000 Si
0.000 0.500 0.000 Si
0.000 0.000 0.000 Li
0.500 0.500 0.500 I
```

Below is an optimized crystal structure of Ba4PrCd5, with properties calculated at the GGA-PBE level.

Summary:
Space group: P4/mmm, No. 123
Formation enthalpy at 0 K, kJ/mol of atoms: -30.1
DFT total energy, eV per atom: -2.017
DOS at the Fermi energy, states/eV/cell: 5.96

```
Ba4PrCd5
1.0
-1.708 2.493 -2.834
2.619 -1.458 -2.860
-13.909 -15.203 -4.985
Cd Pr Ba
5 1 4
Direct
0.500 0.500 0.707 Cd
0.500 0.500 0.920 Cd
0.500 0.500 0.293 Cd
0.500 0.500 0.500 Cd
0.500 0.500 0.080 Cd
0.000 0.000 0.000 Pr
0.000 0.000 0.811 Ba
0.000 0.000 0.604 Ba
0.000 0.000 0.189 Ba
0.000 0.000 0.396 Ba
```

Below is an optimized crystal structure of LiHRu2Se, with properties calculated at the GGA-PBE level.

Summary:
Space group: P4/mmm, No. 123
DFT total energy, eV per atom: -5.139
DOS at the Fermi energy, states/eV/cell: 4.36

```
LiHRu2Se
1.0
3.764 0.000 0.000
0.000 4.466 0.000
0.000 0.000 3.764
Ru H Se Li
2 1 1 1
Direct
0.000 0.000 0.500 Ru
0.500 0.000 0.000 Ru
0.000 0.000 0.000 H
0.000 0.500 0.000 Se
0.500 0.500 0.500 Li
```

Below is an optimized crystal structure of Tb2Pr8Hg, with properties calculated at the GGA-PBE level.

Summary:
Space group: C2/m, No. 12
Formation enthalpy at 0 K, kJ/mol of atoms: 0.8
DFT total energy, eV per atom: -4.337
DOS at the Fermi energy, states/eV/cell: 15.95

```
Tb2Pr8Hg
1.0
-1.406 -5.143 -1.991
7.390 -2.642 1.604
-4.846 1.388 7.969
Pr Tb Hg
8 2 1
Direct
0.610 0.428 0.219 Pr
0.988 0.238 0.977 Pr
0.337 0.081 0.675 Pr
0.819 0.776 0.638 Pr
0.390 0.572 0.781 Pr
0.663 0.919 0.325 Pr
0.181 0.224 0.362 Pr
0.012 0.762 0.023 Pr
0.811 0.341 0.622 Tb
0.189 0.659 0.378 Tb
0.500 0.000 0.000 Hg
```

Below is an optimized crystal structure of LaSmPd, with properties calculated at the GGA-PBE level.

Summary:
Space group: I4mm, No. 107
Formation enthalpy at 0 K, kJ/mol of atoms: -45.3
DFT total energy, eV per atom: -5.416
Energy relative to the lowest polymorph listed for this composition, meV/atom: 84
DOS at the Fermi energy, states/eV/cell: 3.56

```
LaSmPd
1.0
3.688 0.000 0.000
0.000 3.688 0.000
-1.844 -1.844 6.243
Pd La Sm
1 1 1
Direct
0.661 0.661 0.321 Pd
0.308 0.308 0.616 La
0.032 0.032 0.063 Sm
```

Below is an optimized crystal structure of ThTaC2, with properties calculated at the GGA-PBE level.

Summary:
Space group: R-3m, No. 166
Formation enthalpy at 0 K, kJ/mol of atoms: -36.4
DFT total energy, eV per atom: -9.808
Energy relative to the lowest polymorph listed for this composition, meV/atom: 102
DOS at the Fermi energy, states/eV/cell: 1.28

```
ThTaC2
1.0
3.373 0.000 0.000
1.686 2.921 0.000
1.686 0.974 5.864
Th Ta C
1 1 2
Direct
0.500 0.500 0.500 Th
0.000 0.000 0.000 Ta
0.264 0.264 0.207 C
0.736 0.736 0.793 C
```

Below is an optimized crystal structure of NaBe2H, with properties calculated at the GGA-PBE level.

Summary:
Space group: I4_1/amd, No. 141
DFT total energy, eV per atom: -2.457
Energy relative to the lowest polymorph listed for this composition, meV/atom: 0
DOS at the Fermi energy, states/eV/cell: 0.54

```
NaBe2H
1.0
5.052 0.000 0.000
0.000 5.052 0.000
2.526 2.526 3.609
Be Na H
4 2 2
Direct
0.375 0.125 0.250 Be
0.875 0.625 0.750 Be
0.375 0.625 0.750 Be
0.375 0.625 0.250 Be
0.000 0.000 0.000 Na
0.750 0.250 0.500 Na
0.250 0.750 0.500 H
0.500 0.500 0.000 H
```

Below is an optimized crystal structure of Sm12InSi5, with properties calculated at the GGA-PBE level.

Summary:
Space group: Immm, No. 71
DFT total energy, eV per atom: -5.323
DOS at the Fermi energy, states/eV/cell: 13.41

```
Sm12InSi5
1.0
8.064 -0.085 -3.167
-4.210 7.174 -2.424
-0.090 0.085 8.663
Sm Si In
12 5 1
Direct
0.704 0.680 0.384 Sm
0.198 0.966 0.769 Sm
0.704 0.320 0.024 Sm
0.090 0.819 0.271 Sm
0.296 0.680 0.976 Sm
0.453 0.181 0.271 Sm
0.198 0.429 0.231 Sm
0.802 0.034 0.231 Sm
0.547 0.819 0.729 Sm
0.296 0.320 0.616 Sm
0.802 0.571 0.769 Sm
0.910 0.181 0.729 Sm
0.375 0.375 0.000 Si
0.500 0.886 0.386 Si
0.000 0.000 0.000 Si
0.500 0.114 0.614 Si
0.625 0.625 0.000 Si
0.000 0.500 0.500 In
```